1.
A crystal of Mg2ZrSb relaxed with PBEsol. Source: Alexandria via LeMat-Bulk, functional meta-GGA SCAN.

Values from the calculation:
Total magnetic moment = 0.00 μB per cell
Space-group type = No. 12
ΔE_f (raw) = -0.1947 eV per atom

a b c (Å): 3.108 5.288 6.092
angles (deg): 114.28 102.49 95.12
Sites, in units of the cell vectors:
Zr (0.500, 0.000, 0.000)
Mg (0.500, 0.500, 0.500)
Mg (0.000, 0.000, 0.500)
Sb (0.000, 0.500, 0.000)

2.
A crystal of MgZrSb2 relaxed with PBEsol. Source: Alexandria via LeMat-Bulk, functional meta-GGA SCAN.

Values from the calculation:
Total magnetic moment = 0.00 μB per cell
Space-group type = No. 12
ΔE_f (raw) = -0.1870 eV per atom

a b c (Å): 3.209 5.253 5.829
angles (deg): 98.03 90.00 107.78
Sites, in units of the cell vectors:
Zr (0.000, 0.000, 0.500)
Sb (0.262, 0.525, 0.269)
Sb (0.738, 0.475, 0.731)
Mg (0.500, 0.000, 0.000)

3.
A crystal of MgZrSb2 relaxed with PBEsol. Source: Alexandria via LeMat-Bulk, functional meta-GGA SCAN.

Values from the calculation:
Total magnetic moment = 0.00 μB per cell
Space-group type = No. 35
ΔE_f (raw) = -0.1568 eV per atom

a b c (Å): 3.109 3.109 10.293
angles (deg): 90.00 90.00 100.11
Sites, in units of the cell vectors:
Sb (0.000, 0.000, 0.039)
Sb (0.500, 0.500, 0.710)
Zr (0.000, 0.000, 0.492)
Mg (0.500, 0.500, 0.258)

Q: Which formula does entry 1 have?
A: Mg2ZrSb